A relaxed CePuS2 crystal, computed with PBE.

## Properties
- M_tot (μB/f.u.) = 6.67
- density of states at the Fermi level (states/eV/atom) = 3.2498
- V (Å³ per atom) = 22.674
- E (eV/atom) = -8.977
- space group = No. 194

abc: 3.945 3.945 13.460
angles: 90.00 90.00 120.00
Each line ends with the local moment (μB).
Element x y z (fractional)
1 Ce 0.000 0.000 0.500  0.79
2 Ce 0.000 0.000 0.000  0.79
3 Pu 0.667 0.333 0.250  5.39
4 Pu 0.333 0.667 0.750  5.39
5 S 0.333 0.667 0.374  -0.07
6 S 0.667 0.333 0.874  -0.07
7 S 0.667 0.333 0.626  -0.07
8 S 0.333 0.667 0.126  -0.07